A relaxed Mg2HPb crystal, computed with PBE.

Summary:
The excess energy over the best structure of this formula in the dataset is 3.97 kJ/mol of atoms. The density of states at the Fermi level comes out at 0.228 states/eV/atom. As for the total moment: 0.0 μB/f.u.

The structure in POSCAR format:
```
Mg2HPb
1.0
-3.0965 -1.5157 -0.3135
-0.2153 -3.4335 -0.3860
-1.4557 -2.4572 7.1453
Mg H Pb
2 1 1
Cartesian
-1.4021 -2.3343 6.0219
-1.1676 -1.7960 1.1030
-3.6486 -5.7223 6.3648
-2.3886 -3.7143 3.3244
```

=====

A relaxed TbTh2RuN4 crystal, computed with PBE.

Summary:
The formation energy from raw total energies comes out at -1.07 eV per atom. The density of states at the Fermi level comes out at 0.466 states/eV/atom. As for the total moment: 0.0 μB/f.u.

The structure in POSCAR format:
```
TbTh2RuN4
1.0
3.4584 0.0000 0.0000
-1.7292 6.0149 0.0000
0.0000 0.0000 11.8949
Tb Th Ru N
2 4 2 8
Cartesian
0.0000 1.3889 8.9212
1.7292 4.6261 2.9737
0.0000 4.4389 6.6008
1.7292 1.5761 0.6534
1.7292 1.5761 5.2940
0.0000 4.4389 11.2415
1.7292 4.2489 8.9212
0.0000 1.7661 2.9737
0.0000 3.3402 1.5225
1.7292 2.6748 7.4699
1.7292 2.6748 10.3724
0.0000 3.3402 4.4249
0.0000 0.0000 5.9474
0.0000 0.0000 0.0000
0.0000 5.5703 8.9212
1.7292 0.4446 2.9737
```

=====

A relaxed Tl4Co crystal, computed with PBE.

Summary:
The excess energy over the best structure of this formula in the dataset is 13.41 kJ/mol of atoms. Its formation energy is 322 meV per atom. The density of states at the Fermi level comes out at 0.737 states/eV/atom. As for the total moment: 0.4 μB/f.u.

The structure in POSCAR format:
```
Tl4Co
1.0
-4.4356 4.4356 1.6048
4.4356 -4.4356 1.6048
4.4356 4.4356 -1.6048
Tl Co
4 1
Cartesian
5.0134 2.1370 0.0000
2.2987 0.5778 1.6048
-0.5778 2.2987 1.6048
2.1370 3.8579 0.0000
0.0000 0.0000 0.0000
```

=====

A relaxed Ho2TmScSb4 crystal, computed with PBE.

Summary:
The formation energy from raw total energies comes out at -1.05 eV per atom. The density of states at the Fermi level comes out at 0.154 states/eV/atom. As for the total moment: 0.0 μB/f.u.

The structure in POSCAR format:
```
Ho2TmScSb4
1.0
-1.2977 4.1158 -0.0214
-7.1191 -2.2431 0.2949
2.6271 0.8644 6.9357
Ho Tm Sc Sb
2 1 1 4
Cartesian
0.6647 2.4901 3.4572
-2.2460 -0.6894 3.6153
-4.2084 0.9363 0.1367
0.0000 0.0000 0.0000
-1.7390 1.7232 1.7271
-4.0507 1.0138 5.4821
0.2275 0.0993 5.3163
-4.7195 -1.4781 1.9143
```

=====

A relaxed Y6AlAg5 crystal, computed with PBE.

Summary:
Its formation energy is -344 meV per atom. The density of states at the Fermi level comes out at 0.674 states/eV/atom. As for the total moment: 0.0 μB/f.u.

The structure in POSCAR format:
```
Y6AlAg5
1.0
-2.5654 4.4354 -0.3824
0.1798 -0.5266 -7.3149
-7.9633 -1.6365 -0.0779
Y Al Ag
6 1 5
Cartesian
-4.6561 2.7561 -5.8357
-4.7462 3.0201 -2.1684
-1.2374 2.0850 -2.0348
-1.1482 1.8238 -5.6625
-5.6028 -0.7478 -5.6067
-5.6929 -0.4838 -1.9394
0.0000 0.0000 0.0000
-6.9104 1.6136 -3.9646
-3.4276 0.9803 -0.1548
0.0899 -0.2633 -3.6574
-7.1011 1.8187 -0.3055
-3.4386 0.6588 -3.8105
```

=====

A relaxed CaPmCoPt crystal, computed with PBE.

Summary:
Its formation energy is -390 meV per atom. The density of states at the Fermi level comes out at 0.540 states/eV/atom. As for the total moment: 0.6 μB/f.u.

The structure in POSCAR format:
```
CaPmCoPt
1.0
4.9267 0.0000 0.0000
2.4633 4.2666 0.0000
2.4633 1.4222 4.0226
Ca Co Pt Pm
1 1 1 1
Cartesian
2.4633 1.4222 1.0057
0.0000 0.0000 0.0000
4.9267 2.8444 2.0113
7.3900 4.2666 3.0170
```

=====

A relaxed PmDy2Ho2Tm2 crystal, computed with PBE.

Summary:
Its formation energy is 21 meV per atom. The density of states at the Fermi level comes out at 1.341 states/eV/atom. As for the total moment: 0.0 μB/f.u.

The structure in POSCAR format:
```
PmDy2Ho2Tm2
1.0
5.0024 0.0000 0.0000
-2.5012 5.5737 0.2629
0.0000 -1.4903 7.7681
Pm Dy Ho Tm
1 2 2 2
Cartesian
0.0000 0.0000 0.0000
0.0000 0.9501 3.4141
2.5012 3.1333 4.6169
2.5012 -0.2641 5.5844
0.0000 4.3475 2.4466
2.5012 2.1761 1.2268
0.0000 1.9073 6.8042
```

=====

A relaxed LiLaSc2Ru crystal, computed with PBE.

Summary:
The excess energy over the best structure of this formula in the dataset is 0.00 kJ/mol of atoms. Its formation energy is -43 meV per atom. The density of states at the Fermi level comes out at 0.992 states/eV/atom. As for the total moment: 0.0 μB/f.u.

The structure in POSCAR format:
```
LiLaSc2Ru
1.0
-3.0683 2.1848 3.4549
-4.0550 -1.0811 -2.9176
-0.5514 -4.7975 2.5441
Sc Ru Li La
2 1 1 1
Cartesian
-2.0275 -0.5405 -1.4588
-1.5341 1.0924 1.7275
0.0000 0.0000 0.0000
-3.8373 -1.8469 1.5407
-0.2757 -2.3988 1.2720
```

=====

A relaxed Mg2CuSe crystal, computed with PBE.

Summary:
The formation energy from raw total energies comes out at -0.11 eV per atom. The density of states at the Fermi level comes out at 0.191 states/eV/atom. As for the total moment: 0.0 μB/f.u.

The structure in POSCAR format:
```
Mg2CuSe
1.0
2.0106 -3.4824 0.0000
2.0106 3.4824 0.0000
0.0000 0.0000 12.7427
Mg Cu Se
4 2 2
Cartesian
2.0106 1.1608 7.4247
2.0106 -1.1608 1.0533
2.0106 -1.1608 5.3180
2.0106 1.1608 11.6894
0.0000 0.0000 3.1857
0.0000 0.0000 9.5570
2.0106 1.1608 3.1857
2.0106 -1.1608 9.5570
```

=====

A relaxed HoErGe crystal, computed with PBE.

Summary:
The excess energy over the best structure of this formula in the dataset is 13.96 kJ/mol of atoms. Its formation energy is -502 meV per atom. The density of states at the Fermi level comes out at 0.667 states/eV/atom. As for the total moment: 0.0 μB/f.u.

The structure in POSCAR format:
```
HoErGe
1.0
4.0038 0.0012 0.0007
-0.0015 4.8191 0.2416
-1.9914 -0.3823 7.6229
Ho Er Ge
2 2 2
Cartesian
2.6214 2.3776 3.2174
-1.3551 -0.1409 5.2471
2.6310 0.0926 0.6133
0.6267 2.5267 0.2286
0.6359 2.2530 5.7197
0.6307 -0.0130 2.7477
```